1.
Material: Tb6Tl5Pb
Method: DFT, PBE
State: optimized geometry

- total DFT energy (no corrections) (eV/atom) = -3.98
- mass density (g/cm3) = 10.9
- energy relative to the elements (eV/f.u.) = -4.380

Lattice parameters (Å, degrees): 9.3150 16.2222 5.4057 90.00 125.38 90.00
Closest atoms and distances in Å follow each position.
Space group C2/m (No. 12)
One atom of each set of equivalent atoms:
Tb 0.2505 0.0000 0.2504 (multiplicity 4)  6 Tl 3.30-3.34, 2 Pb 3.30
Tb 0.2504 0.1666 0.7503 (multiplicity 8)  7 Tl 3.27-3.31, 1 Pb 3.30
Tl 0.0000 0.0000 0.5000 (multiplicity 2)  8 Tb 3.30-3.31
Tl 0.0000 0.1659 0.0000 (multiplicity 4)  8 Tb 3.30-3.31
Tl 0.0000 0.3303 0.5000 (multiplicity 4)  8 Tb 3.27-3.34
Pb 0.0000 0.5000 0.0000 (multiplicity 2)  8 Tb 3.30


2.
Material: Nd2Ge4Ir3Rh
Method: DFT, PBE
State: optimized geometry

- total DFT energy (no corrections) (eV/atom) = -7.00
- mass density (g/cm3) = 11.2
- energy relative to the elements (eV/f.u.) = -8.080

Lattice parameters (Å, degrees): 4.2923 4.2923 10.1273 90.00 90.00 90.00
Closest atoms and distances in Å follow each position.
Space group P-4m2 (No. 115)
One atom of each set of equivalent atoms:
Nd 0.0000 0.5000 0.2445 (multiplicity 2)  6 Ir 3.26-3.36, 8 Ge 3.28-3.29, 2 Rh 3.36
Ge 0.0000 0.0000 0.0000 (multiplicity 1)  4 Ir 2.50
Ge 0.0000 0.5000 0.6303 (multiplicity 2)  3 Ir 2.46-2.52, 2 Rh 2.52
Ge 0.5000 0.5000 0.0000 (multiplicity 1)  4 Ir 2.50
Ir 0.0000 0.5000 0.8728 (multiplicity 2)  5 Ge 2.46-2.50
Ir 0.5000 0.5000 0.5000 (multiplicity 1)  4 Ge 2.52
Rh 0.0000 0.0000 0.5000 (multiplicity 1)  4 Ge 2.52


3.
Material: HfTaVMo2
Method: DFT, PBE
State: optimized geometry

- total DFT energy (no corrections) (eV/atom) = -9.41
- mass density (g/cm3) = 10.4
- energy relative to the elements (eV/f.u.) = 5.525

Lattice parameters (Å, degrees): 4.5215 4.5215 4.6990 90.00 90.00 90.00
Closest atoms and distances in Å follow each position.
Space group P4/mmm (No. 123)
One atom of each set of equivalent atoms:
Hf 0.0000 0.0000 0.0000 (multiplicity 1)  2 V 2.35
Ta 0.5000 0.5000 0.0000 (multiplicity 1)  4 Hf 3.20, 8 Mo 3.26
V 0.0000 0.0000 0.5000 (multiplicity 1)  4 Mo 2.26, 2 Hf 2.35
Mo 0.0000 0.5000 0.5000 (multiplicity 2)  2 V 2.26


4.
Material: InNi2Rh
Method: DFT, PBE
State: optimized geometry

- total DFT energy (no corrections) (eV/atom) = -5.13
- mass density (g/cm3) = 8.9
- energy relative to the elements (eV/f.u.) = 1.139

Lattice parameters (Å, degrees): 3.7425 3.7425 17.8954 90.00 90.00 90.00
Closest atoms and distances in Å follow each position.
Space group I-42d (No. 122)
One atom of each set of equivalent atoms:
In 0.0000 0.0000 0.0000 (multiplicity 4)  4 Rh 2.65, 4 Ni 2.65
Ni 0.2160 0.2500 0.6250 (multiplicity 8)  2 Ni 2.47, 2 Rh 2.56, 2 In 2.65
Rh 0.0000 0.0000 0.5000 (multiplicity 4)  4 Ni 2.56, 4 In 2.65


5.
Material: Pm2HoIr
Method: DFT, PBE
State: optimized geometry

- total DFT energy (no corrections) (eV/atom) = -5.99
- mass density (g/cm3) = 9.5
- energy relative to the elements (eV/f.u.) = -1.019

Lattice parameters (Å, degrees): 3.5978 3.5978 8.7500 90.00 90.00 90.00
Closest atoms and distances in Å follow each position.
Space group P4/mmm (No. 123)
One atom of each set of equivalent atoms:
Pm 0.0000 0.0000 0.1887 (multiplicity 2)  4 Ir 3.03, 1 Pm 3.30
Ho 0.5000 0.5000 0.5000 (multiplicity 1)  4 Ho 3.60, 8 Pm 3.73
Ir 0.5000 0.5000 0.0000 (multiplicity 1)  8 Pm 3.03


6.
Material: Ca2NdPuN4
Method: DFT, PBE
State: optimized geometry

- total DFT energy (no corrections) (eV/atom) = -8.20
- mass density (g/cm3) = 7.0
- formation energy from raw total energies (eV per formula unit) = -9.2

Lattice parameters (Å, degrees): 6.0691 3.5569 6.1265 90.00 109.38 90.00
Closest atoms and distances in Å follow each position.
Space group P2/m (No. 10)
One atom of each set of equivalent atoms:
Ca 0.0000 0.0000 0.0000 (multiplicity 1)  6 N 2.50-2.54
Ca 0.0000 0.5000 0.5000 (multiplicity 1)  6 N 2.62-2.81
Nd 0.5000 0.0000 0.5000 (multiplicity 1)  6 N 2.48-2.51
Pu 0.5000 0.5000 0.0000 (multiplicity 1)  6 N 2.17-2.40
N 0.2733 0.0000 0.7707 (multiplicity 2)  2 Pu 2.40, 1 Nd 2.48, 3 Ca 2.50-2.62
N 0.2857 0.5000 0.2219 (multiplicity 2)  1 Pu 2.17


7.
Material: PrDyMgOs
Method: DFT, PBE
State: optimized geometry

- total DFT energy (no corrections) (eV/atom) = -5.59
- mass density (g/cm3) = 9.2
- energy relative to the elements (eV/f.u.) = -0.144

Lattice parameters (Å, degrees): 7.2079 7.2079 7.2079 90.00 90.00 90.00
Closest atoms and distances in Å follow each position.
Space group F-43m (No. 216)
One atom of each set of equivalent atoms:
Pr 0.0000 0.0000 0.0000 (multiplicity 4)  4 Mg 3.12, 4 Os 3.12
Dy 0.0000 0.0000 0.5000 (multiplicity 4)  4 Os 3.12, 4 Mg 3.12
Mg 0.2500 0.2500 0.7500 (multiplicity 4)  4 Dy 3.12, 4 Pr 3.12
Os 0.2500 0.2500 0.2500 (multiplicity 4)  4 Dy 3.12, 4 Pr 3.12


8.
Material: NdDy4Y8
Method: DFT, PBE
State: optimized geometry

- total DFT energy (no corrections) (eV/atom) = -5.56
- mass density (g/cm3) = 5.9
- energy relative to the elements (eV/f.u.) = 2.618

Lattice parameters (Å, degrees): 7.3269 7.3269 27.2555 90.00 90.00 120.00
Closest atoms and distances in Å follow each position.
Space group R-3m (No. 166, hexagonal axes)
One atom of each set of equivalent atoms:
Nd 0.0000 0.0000 0.0000 (multiplicity 3)  6 Y 2.94
Dy 0.0000 0.0000 0.5000 (multiplicity 3)  6 Y 3.35, 6 Dy 3.66
Dy 0.0000 0.5000 0.5000 (multiplicity 9)  6 Y 3.56-3.79, 6 Dy 3.66
Y 0.0000 0.0000 0.2821 (multiplicity 6)  9 Y 3.69, 3 Dy 3.79
Y 0.0357 0.5179 0.2681 (multiplicity 18)  1 Nd 2.94, 2 Y 3.27


9.
Material: LaDyAlAg
Method: DFT, PBE
State: optimized geometry

- total DFT energy (no corrections) (eV/atom) = -4.33
- mass density (g/cm3) = 6.9
- energy relative to the elements (eV/f.u.) = -1.197

Lattice parameters (Å, degrees): 7.4896 7.4896 7.4896 90.00 90.00 90.00
Closest atoms and distances in Å follow each position.
Space group F-43m (No. 216)
One atom of each set of equivalent atoms:
La 0.0000 0.0000 0.0000 (multiplicity 4)  4 Al 3.24, 4 Ag 3.24
Dy 0.0000 0.0000 0.5000 (multiplicity 4)  4 Ag 3.24, 4 Al 3.24
Al 0.2500 0.2500 0.2500 (multiplicity 4)  4 Dy 3.24, 4 La 3.24
Ag 0.2500 0.2500 0.7500 (multiplicity 4)  4 La 3.24, 4 Dy 3.24


10.
Material: Hg2IrPb
Method: DFT, PBE
State: optimized geometry

- total DFT energy (no corrections) (eV/atom) = -2.96
- mass density (g/cm3) = 14.0
- energy relative to the elements (eV/f.u.) = 1.352

Lattice parameters (Å, degrees): 3.2003 3.2003 32.0148 90.00 90.00 120.00
Closest atoms and distances in Å follow each position.
Space group R3m (No. 160, hexagonal axes)
One atom of each set of equivalent atoms:
Hg 0.0000 0.0000 0.0000 (multiplicity 3)  9 Hg 3.20-3.56
Hg 0.0000 0.0000 0.2384 (multiplicity 3)  3 Ir 2.89, 6 Hg 3.20
Ir 0.0000 0.0000 0.5023 (multiplicity 3)  3 Pb 2.83, 3 Hg 2.89
Pb 0.0000 0.0000 0.7688 (multiplicity 3)  3 Ir 2.83


11.
Material: Li3ReCl2F6
Method: DFT, PBE
State: optimized geometry

- total DFT energy (no corrections) (eV/atom) = -4.87
- mass density (g/cm3) = 3.3
- formation energy from raw total energies (eV per formula unit) = -25.3

Lattice parameters (Å, degrees): 12.7356 6.2548 4.9593 90.00 92.40 90.00
Closest atoms and distances in Å follow each position.
Space group C2/m (No. 12)
One atom of each set of equivalent atoms:
Li 0.0000 0.0000 0.0000 (multiplicity 2)  4 F 2.25, 2 Cl 2.39
Li 0.2500 0.2500 0.5000 (multiplicity 4)  2 F 2.13, 2 Cl 2.32
Re 0.0000 0.5000 0.5000 (multiplicity 2)  6 F 1.90-1.96
Cl 0.1725 0.0000 0.2077 (multiplicity 4)  3 Li 2.32-2.39
F 0.0450 0.2821 0.7469 (multiplicity 8)  1 Re 1.90
F 0.1447 0.5000 0.3772 (multiplicity 4)  1 Re 1.96, 2 Li 2.13


12.
Material: TmScBeCo
Method: DFT, PBE
State: optimized geometry

- total DFT energy (no corrections) (eV/atom) = -5.53
- mass density (g/cm3) = 6.9
- energy relative to the elements (eV/f.u.) = -0.504

Lattice parameters (Å, degrees): 6.4649 6.4649 6.4649 90.00 90.00 90.00
Closest atoms and distances in Å follow each position.
Space group F-43m (No. 216)
One atom of each set of equivalent atoms:
Tm 0.0000 0.0000 0.0000 (multiplicity 4)  4 Co 2.80, 4 Be 2.80
Sc 0.0000 0.0000 0.5000 (multiplicity 4)  4 Co 2.80, 4 Be 2.80
Be 0.2500 0.2500 0.2500 (multiplicity 4)  4 Tm 2.80, 4 Sc 2.80
Co 0.2500 0.2500 0.7500 (multiplicity 4)  4 Tm 2.80, 4 Sc 2.80


13.
Material: POsF2
Method: DFT, PBE
State: optimized geometry

- total DFT energy (no corrections) (eV/atom) = -5.38
- mass density (g/cm3) = 6.8
- formation energy from raw total energies (eV per formula unit) = -1.1

Lattice parameters (Å, degrees): 7.5481 7.5481 4.4548 90.00 90.00 90.00
Closest atoms and distances in Å follow each position.
Space group I-42d (No. 122)
One atom of each set of equivalent atoms:
P 0.0000 0.0000 0.0000 (multiplicity 4)  2 Os 2.23
Os 0.0000 0.0000 0.5000 (multiplicity 4)  4 F 2.16, 2 P 2.23
F 0.1182 0.7500 0.6250 (multiplicity 8)  2 Os 2.16


14.
Material: CeThC4
Method: DFT, PBE
State: optimized geometry

- total DFT energy (no corrections) (eV/atom) = -8.57
- mass density (g/cm3) = 7.7
- energy relative to the elements (eV/f.u.) = -1.169

Lattice parameters (Å, degrees): 3.7855 3.7863 6.3611 90.00 90.56 90.00
Closest atoms and distances in Å follow each position.
Space group P2/m (No. 10)
One atom of each set of equivalent atoms:
Ce 0.0000 0.0000 0.0000 (multiplicity 1)  10 C 2.52-2.76
Th 0.5000 0.5000 0.5000 (multiplicity 1)  10 C 2.52-2.77
C 0.0012 0.0000 0.3954 (multiplicity 2)  1 C 1.33
C 0.4986 0.5000 0.1033 (multiplicity 2)  1 C 1.31


15.
Material: Ac2CuGe5
Method: DFT, PBE
State: optimized geometry

- total DFT energy (no corrections) (eV/atom) = -4.81
- mass density (g/cm3) = 7.5
- energy relative to the elements (eV/f.u.) = -3.083

Lattice parameters (Å, degrees): 6.1930 6.1930 10.1154 90.00 90.00 90.00
Closest atoms and distances in Å follow each position.
Space group I4mm (No. 107)
One atom of each set of equivalent atoms:
Ac 0.0000 0.5000 0.0000 (multiplicity 4)  10 Ge 3.20-3.41, 2 Cu 3.52
Cu 0.0000 0.0000 0.1648 (multiplicity 2)  4 Ge 2.55
Ge 0.0000 0.0000 0.5812 (multiplicity 2)  4 Ge 2.69
Ge 0.2296 0.2296 0.7572 (multiplicity 8)  1 Cu 2.55, 3 Ge 2.69-2.84


16.
Material: Li2Zr2In3
Method: DFT, PBE
State: optimized geometry

- total DFT energy (no corrections) (eV/atom) = -4.39
- mass density (g/cm3) = 6.2
- energy relative to the elements (eV/f.u.) = -1.620

Lattice parameters (Å, degrees): 4.5292 20.9526 3.0664 90.00 90.00 90.00
Closest atoms and distances in Å follow each position.
Space group Cmmm (No. 65)
One atom of each set of equivalent atoms:
Li 0.0000 0.2155 0.0000 (multiplicity 4)  2 Li 2.69, 1 Zr 2.95
Zr 0.0000 0.0747 0.0000 (multiplicity 4)  1 Li 2.95, 3 Zr 3.07-3.13, 8 In 3.15-3.21
In 0.0000 0.3455 0.5000 (multiplicity 4)  6 Li 3.02-3.13, 3 In 3.07-3.24, 4 Zr 3.21
In 0.0000 0.5000 0.5000 (multiplicity 2)  4 In 3.07-3.24, 8 Zr 3.15


17.
Material: TaInCu2Se4
Method: DFT, PBE
State: optimized geometry

- total DFT energy (no corrections) (eV/atom) = -4.87
- mass density (g/cm3) = 5.9
- formation energy from raw total energies (eV per formula unit) = -2.3

Lattice parameters (Å, degrees): 5.8336 5.8336 12.2488 90.00 90.00 90.00
Closest atoms and distances in Å follow each position.
Space group P-42c (No. 112)
One atom of each set of equivalent atoms:
Ta 0.0000 0.0000 0.0000 (multiplicity 2)  4 Se 2.46
In 0.0000 0.5000 0.2500 (multiplicity 2)  4 Se 2.92
Cu 0.0000 0.5000 0.7500 (multiplicity 2)  4 Se 2.47
Cu 0.5000 0.5000 0.0000 (multiplicity 2)  4 Se 2.50
Se 0.2104 0.2831 0.6093 (multiplicity 8)  1 Ta 2.46, 2 Cu 2.47-2.50


18.
Material: TlCu4Rh
Method: DFT, PBE
State: optimized geometry

- total DFT energy (no corrections) (eV/atom) = -4.20
- mass density (g/cm3) = 11.0
- energy relative to the elements (eV/f.u.) = 0.922

Lattice parameters (Å, degrees): 6.9692 6.9692 6.9692 90.00 90.00 90.00
Closest atoms and distances in Å follow each position.
Space group F-43m (No. 216)
One atom of each set of equivalent atoms:
Tl 0.0000 0.0000 0.0000 (multiplicity 4)  12 Cu 2.89, 4 Rh 3.02
Cu 0.1243 0.1243 0.6243 (multiplicity 16)  6 Cu 2.45-2.48
Rh 0.2500 0.2500 0.2500 (multiplicity 4)  12 Cu 2.89, 4 Tl 3.02


19.
Material: Tb3Dy12Os5
Method: DFT, PBE
State: optimized geometry

- total DFT energy (no corrections) (eV/atom) = -5.72
- mass density (g/cm3) = 8.4
- energy relative to the elements (eV/f.u.) = 10.956

Lattice parameters (Å, degrees): 17.4840 17.4840 17.4840 90.00 90.00 90.00
Closest atoms and distances in Å follow each position.
Space group Ia-3d (No. 230)
One atom of each set of equivalent atoms:
Tb 0.0000 0.2500 0.1250 (multiplicity 24)  8 Dy 3.45-3.69
Dy 0.0439 0.0578 0.6377 (multiplicity 96)  2 Os 2.62-2.72
Os 0.0000 0.0000 0.0000 (multiplicity 16)  6 Dy 2.72
Os 0.0000 0.2500 0.3750 (multiplicity 24)  4 Dy 2.62


20.
Material: SiH2Pt2
Method: DFT, PBE
State: optimized geometry

- total DFT energy (no corrections) (eV/atom) = -4.85
- mass density (g/cm3) = 12.6

Lattice parameters (Å, degrees): 6.3296 6.3296 2.7584 90.00 90.00 90.00
Closest atoms and distances in Å follow each position.
Space group P4/mbm (No. 127)
One atom of each set of equivalent atoms:
Si 0.0000 0.0000 0.0000 (multiplicity 2)  4 H 2.64, 8 Pt 2.65, 2 Si 2.76
H 0.0934 0.4066 0.0000 (multiplicity 4)  1 H 1.67, 2 Pt 1.75
Pt 0.2129 0.2871 0.5000 (multiplicity 4)  2 H 1.75


Asked for N(E_F) across the records above, the calculation gives 0.568 0.544 0.919 1.397 1.277 0.686 0.724 1.206 1.038 0.262 0.593 0.552 0.467 0.768 0.516 0.547 0.263 0.663 1.319 0.293 states/eV/atom in order.